one:
Material: HfBeP2S
Method: DFT, PBE
State: relaxed

Results
Magnetization = 0.000 μB/cell
Crystal system = tetragonal

Cell: 4.0150 4.0150 4.9729 Å, 90.00 90.00 90.00°
Atoms (fractional coordinates):
P: 0.0000 0.5000 0.0000
Hf: 0.5000 0.5000 0.5000
S: 0.0000 0.0000 0.5000
Be: 0.0000 0.0000 0.0000
P: 0.5000 0.0000 0.0000

***

two:
Material: HfBeP2S
Method: DFT, PBE
State: relaxed

Results
Magnetization = 0.000 μB/cell
Crystal system = tetragonal

Cell: 5.0131 5.0131 4.8214 Å, 90.00 90.00 90.00°
Atoms (fractional coordinates):
Be: 0.5000 0.5000 0.5000
P: 0.5000 0.0000 0.0000
S: 0.0000 0.0000 0.5000
Hf: 0.0000 0.0000 0.0000
P: 0.0000 0.5000 0.0000

***

one takes first place; second place is 0.483 eV/atom up.

***

one:
Material: HfBeSb2P
Method: DFT, PBE
State: relaxed

Results
Magnetization = 0.000 μB/cell
Crystal system = tetragonal

Cell: 5.1899 4.8095 5.1899 Å, 90.00 90.00 90.00°
Atoms (fractional coordinates):
P: 0.0000 0.0000 0.0000
Be: 0.5000 0.5000 0.5000
Sb: 0.5000 0.0000 0.0000
Hf: 0.0000 0.5000 0.0000
Sb: 0.0000 0.0000 0.5000

***

two:
Material: HfBeSb2P
Method: DFT, PBE
State: relaxed

Results
Magnetization = 0.000 μB/cell
Crystal system = tetragonal

Cell: 4.6130 5.0108 4.6130 Å, 90.00 90.00 90.00°
Atoms (fractional coordinates):
Sb: 0.5000 0.0000 0.0000
Be: 0.0000 0.0000 0.0000
Sb: 0.0000 0.0000 0.5000
Hf: 0.0000 0.5000 0.0000
P: 0.5000 0.5000 0.5000

***

two takes first place; second place is 0.258 eV/atom up.

***

one:
Material: HfPaBe2
Method: DFT, PBE
State: relaxed

Results
Magnetization = 0.000 μB/cell
Crystal system = tetragonal

Cell: 3.0033 3.0033 7.2842 Å, 90.00 90.00 90.00°
Atoms (fractional coordinates):
Pa: 0.5000 0.5000 0.5000
Be: 0.0000 0.0000 0.2290
Be: 0.0000 0.0000 0.7710
Hf: 0.5000 0.5000 0.0000

***

two:
Material: HfPaBe2
Method: DFT, PBE
State: relaxed

Results
Magnetization = 0.000 μB/cell
Crystal system = cubic

Cell: 4.5855 4.5855 4.5857 Å, 60.00 60.00 60.00°
Atoms (fractional coordinates):
Hf: 0.5000 0.5000 0.5000
Be: 0.2500 0.2500 0.2499
Pa: 0.0000 0.0000 0.0000
Be: 0.7500 0.7500 0.7501

***

one takes first place; second place is 0.106 eV/atom up.

***

one:
Material: Hf3BePb
Method: DFT, PBE
State: relaxed

Results
Magnetization = 0.000 μB/cell
Crystal system = cubic

Cell: 4.7169 4.7169 4.7169 Å, 90.00 90.00 90.00°
Atoms (fractional coordinates):
Be: 0.0000 0.0000 0.0000
Pb: 0.5000 0.5000 0.5000
Hf: 0.0000 0.5000 0.0000
Hf: 0.5000 0.0000 0.0000
Hf: 0.0000 0.0000 0.5000

***

two:
Material: Hf3BePb
Method: DFT, PBE
State: relaxed

Results
Magnetization = 0.000 μB/cell
Crystal system = cubic

Cell: 5.2841 5.2841 5.2841 Å, 90.00 90.00 90.00°
Atoms (fractional coordinates):
Hf: 0.5000 0.0000 0.0000
Pb: 0.0000 0.0000 0.0000
Be: 0.5000 0.5000 0.5000
Hf: 0.0000 0.0000 0.5000
Hf: 0.0000 0.5000 0.0000

***

three:
Material: Hf3BePb
Method: DFT, PBE
State: relaxed

Results
Magnetization = 0.000 μB/cell
Crystal system = monoclinic

Cell: 3.3253 9.1430 8.3480 Å, 124.77 90.00 90.00°
Atoms (fractional coordinates):
Hf: 0.6955 0.3741 0.3186
Hf: 0.6955 0.0102 0.9024
Hf: 0.6955 0.6949 0.0467
Hf: 0.1955 0.4113 0.6516
Pb: 0.6955 0.0266 0.5294
Hf: 0.1955 0.0474 0.2355
Pb: 0.1955 0.3950 0.0247
Hf: 0.1955 0.7267 0.5074
Be: 0.1955 0.7760 0.8683
Be: 0.6955 0.6456 0.6858

***

three takes first place; second place is 0.115 eV/atom up.

***

one:
Material: HfBe3Pb
Method: DFT, PBE
State: relaxed

Results
Magnetization = 0.000 μB/cell
Crystal system = cubic

Cell: 4.5430 4.5430 4.5430 Å, 90.00 90.00 90.00°
Atoms (fractional coordinates):
Hf: 0.5000 0.5000 0.5000
Be: 0.5000 0.0000 0.0000
Pb: 0.0000 0.0000 0.0000
Be: 0.0000 0.0000 0.5000
Be: 0.0000 0.5000 0.0000

***

two:
Material: HfBe3Pb
Method: DFT, PBE
State: relaxed

Results
Magnetization = 0.000 μB/cell
Crystal system = cubic

Cell: 4.8122 4.8122 4.8122 Å, 90.00 90.00 90.00°
Atoms (fractional coordinates):
Be: 0.0000 0.0000 0.5000
Hf: 0.0000 0.0000 0.0000
Be: 0.0000 0.5000 0.0000
Be: 0.5000 0.0000 0.0000
Pb: 0.5000 0.5000 0.5000

***

one takes first place; second place is 0.093 eV/atom up.

***

one:
Material: Hf2BePd2
Method: DFT, PBE
State: relaxed

Results
Magnetization = 0.000 μB/cell
Crystal system = tetragonal

Cell: 7.1116 7.1116 3.5078 Å, 90.00 90.00 90.00°
Atoms (fractional coordinates):
Pd: 0.6345 0.1345 0.0000
Hf: 0.6733 0.8267 0.5000
Hf: 0.3267 0.1733 0.5000
Pd: 0.8655 0.6345 0.0000
Be: 0.0000 0.0000 0.0000
Be: 0.5000 0.5000 0.0000
Hf: 0.8267 0.3267 0.5000
Pd: 0.1345 0.3655 0.0000
Pd: 0.3655 0.8655 0.0000
Hf: 0.1733 0.6733 0.5000

***

two:
Material: Hf2BePd2
Method: DFT, PBE
State: relaxed

Results
Magnetization = 0.000 μB/cell
Crystal system = tetragonal

Cell: 4.6920 4.6920 4.0289 Å, 90.00 90.00 90.00°
Atoms (fractional coordinates):
Be: 0.0000 0.0000 0.0000
Pd: 0.5000 0.5000 0.5000
Hf: 0.0000 0.5000 0.0000
Hf: 0.5000 0.0000 0.0000
Pd: 0.0000 0.0000 0.5000

***

one takes first place; second place is 0.355 eV/atom up.

***

one:
Material: HfBePd
Method: DFT, PBE
State: relaxed

Results
Magnetization = 0.000 μB/cell
Crystal system = orthorhombic

Cell: 5.3233 5.9325 6.4085 Å, 90.00 90.00 116.66°
Atoms (fractional coordinates):
Be: 0.4087 0.8173 0.4477
Pd: 0.6905 0.8809 0.7500
Hf: 0.3201 0.6401 0.0783
Hf: 0.6799 0.3599 0.9217
Pd: 0.1905 0.8809 0.7500
Hf: 0.8201 0.6401 0.4217
Be: 0.9087 0.8173 0.0523
Be: 0.0913 0.1827 0.9477
Hf: 0.1799 0.3599 0.5783
Be: 0.5913 0.1827 0.5523
Pd: 0.8095 0.1191 0.2500
Pd: 0.3095 0.1191 0.2500

***

two:
Material: HfBePd
Method: DFT, PBE
State: relaxed

Results
Magnetization = 0.000 μB/cell
Crystal system = hexagonal

Cell: 3.1656 4.1140 4.1140 Å, 120.00 90.00 90.00°
Atoms (fractional coordinates):
Hf: 0.6665 0.6667 0.3333
Pd: 0.1664 0.0000 0.0000
Be: 0.1670 0.3333 0.6667

***

three:
Material: HfBePd
Method: DFT, PBE
State: relaxed

Results
Magnetization = 0.000 μB/cell
Crystal system = hexagonal

Cell: 3.4935 6.6385 6.6385 Å, 120.00 90.00 90.00°
Atoms (fractional coordinates):
Be: 0.0000 0.6667 0.3333
Pd: 0.0000 0.0000 0.2497
Pd: 0.0000 0.2497 0.0000
Hf: 0.5000 0.0000 0.5844
Be: 0.0000 0.3333 0.6667
Be: 0.5000 0.0000 0.0000
Hf: 0.5000 0.5844 0.0000
Pd: 0.0000 0.7503 0.7503
Hf: 0.5000 0.4156 0.4156

***

three takes first place; second place is 0.086 eV/atom up.

***

one:
Material: HfBe2Pt
Method: DFT, PBE
State: relaxed

Results
Magnetization = 0.000 μB/cell
Crystal system = tetragonal

Cell: 3.9786 3.9786 8.4819 Å, 76.44 76.44 90.00°
Atoms (fractional coordinates):
Be: 0.8750 0.1247 0.7500
Be: 0.3750 0.1253 0.7500
Be: 0.8747 0.1250 0.2500
Be: 0.8753 0.6250 0.2500
Hf: 0.5000 0.5000 0.0000
Hf: 0.2500 0.7500 0.5000
Pt: 0.0000 0.0000 0.0000
Pt: 0.7500 0.2500 0.5000

***

two:
Material: HfBe2Pt
Method: DFT, PBE
State: relaxed

Results
Magnetization = 0.000 μB/cell
Crystal system = orthorhombic

Cell: 5.6436 5.6436 5.6436 Å, 56.02 136.04 147.05°
Atoms (fractional coordinates):
Be: 0.0000 0.7243 0.7243
Be: 0.0000 0.2757 0.2757
Hf: 0.0000 0.0000 0.0000
Pt: 0.0000 0.5000 0.5000

***

three:
Material: HfBe2Pt
Method: DFT, PBE
State: relaxed

Results
Magnetization = 0.000 μB/cell
Crystal system = cubic

Cell: 4.1781 4.1781 4.1781 Å, 60.00 60.00 60.00°
Atoms (fractional coordinates):
Hf: 0.0000 0.0000 0.0000
Be: 0.2500 0.2500 0.2500
Be: 0.7500 0.7500 0.7500
Pt: 0.5000 0.5000 0.5000

***

three takes first place; second place is 0.413 eV/atom up.